# 1
Density functional theory data (PBE-GGA) for a relaxed structure of ScMnAsAu2.

a = 4.8870 Å, b = 4.8870 Å, c = 4.4822 Å
α = 90.00°, β = 90.00°, γ = 90.00°
Element x y z (fractional)
Sc1 0.0000 0.0000 0.0000
Mn1 0.5000 0.5000 0.5000
As1 0.5000 0.5000 0.0000
Au1 0.0000 0.5000 0.5000
Au2 0.5000 0.0000 0.5000

Formation energy (kJ/mol of formula units): 42



# 2
Density functional theory data (PBE-GGA) for a relaxed structure of LiZr2Tl.

a = 4.3032 Å, b = 4.3032 Å, c = 9.1434 Å
α = 90.00°, β = 90.00°, γ = 90.00°
Element x y z (fractional)
Li1 0.0000 0.0000 0.0000
Li2 0.5000 0.5000 0.5000
Zr1 0.0000 0.0000 0.5000
Zr2 0.0000 0.5000 0.2500
Zr3 0.5000 0.0000 0.7500
Zr4 0.5000 0.5000 0.0000
Tl1 0.0000 0.5000 0.7500
Tl2 0.5000 0.0000 0.2500

Formation energy (kJ/mol of formula units): 30